No. 1
5
Lattice="4.502 0.000 0.000 0.000 4.502 0.000 0.000 0.000 3.351" Properties=species:S:1:pos:R:3 comment="MnNiS2N, relaxed, DFT PBEsol" raw_formation_energy_mev_per_atom=422 pbc="T T T"
Mn 0.000 0.000 0.000
Ni 2.251 2.251 1.675
S 0.000 2.251 0.000
S 2.251 0.000 0.000
N 0.000 0.000 1.675

=====

No. 2
3
Lattice="-1.461 1.868 5.084 1.461 -1.868 5.084 1.461 1.868 -5.084" Properties=species:S:1:pos:R:3 comment="CaZnTc, relaxed, DFT PBEsol" relative_energy_mev_per_atom=0 delta_e_f_ev_per_atom=0.34 pbc="T T T"
Ca 0.000 0.000 0.000
Zn 0.000 0.000 2.993
Tc 0.000 0.000 7.109

=====

No. 3
4
Lattice="3.785 0.000 0.000 0.000 3.785 0.000 0.000 0.000 3.967" Properties=species:S:1:pos:R:3 comment="Mn2TeOs, relaxed, DFT PBEsol" raw_formation_energy_mev_per_atom=454 pbc="T T T"
Mn 0.000 1.892 0.000
Mn 1.892 0.000 0.000
Te 0.000 0.000 1.983
Os 1.892 1.892 1.983

=====

No. 4
4
Lattice="3.220 0.000 0.000 0.000 3.220 0.000 0.000 0.000 8.055" Properties=species:S:1:pos:R:3 comment="P2PbSe, relaxed, DFT PBEsol" relative_energy_mev_per_atom=0 raw_formation_energy_mev_per_atom=219 pbc="T T T"
P 0.000 0.000 0.000
P 1.610 1.610 0.772
Pb 0.000 0.000 3.308
Se 1.610 1.610 5.291

=====

No. 5
19
Lattice="-5.028 5.028 5.028 5.028 -5.028 5.028 5.028 5.028 -5.028" Properties=species:S:1:pos:R:3 comment="La12Ni6Pb, relaxed, DFT PBEsol" delta_e_f_ev_per_atom=-0.29 pbc="T T T"
La 5.028 -1.905 3.198
La 3.123 1.829 0.000
La 6.933 1.829 0.000
La 3.198 5.028 -1.905
La 1.829 0.000 3.123
La 0.000 3.123 1.829
La 5.028 1.905 3.198
La 3.198 5.028 1.905
La 1.829 0.000 6.933
La -1.905 3.198 5.028
La 1.905 3.198 5.028
La 0.000 6.933 1.829
Ni 5.028 0.000 1.258
Ni 5.028 3.770 0.000
Ni 1.258 5.028 0.000
Ni 3.770 0.000 5.028
Ni 0.000 1.258 5.028
Ni 0.000 5.028 3.770
Pb 0.000 0.000 0.000

=====

No. 6
10
Lattice="-2.741 2.741 3.968 2.741 -2.741 3.968 2.741 2.741 -3.968" Properties=species:S:1:pos:R:3 comment="SrRhO3, relaxed, DFT PBEsol" raw_formation_energy_mev_per_atom=-1658 pbc="T T T"
Sr 2.741 0.000 1.984
Sr 0.000 2.741 1.984
Rh 0.000 0.000 0.000
Rh 0.000 0.000 3.968
O 3.793 1.052 0.000
O 0.000 0.000 1.984
O 1.052 1.690 0.000
O 1.690 1.052 3.968
O 0.000 0.000 5.952
O -1.052 1.690 3.968

=====

No. 7
14
Lattice="4.378 0.000 0.000 0.000 4.378 0.000 0.000 0.000 21.197" Properties=species:S:1:pos:R:3 comment="KLa2Ag3Te8, relaxed, DFT PBEsol" raw_formation_energy_mev_per_atom=-751 pbc="T T T"
K 0.000 0.000 0.000
La 0.000 0.000 9.769
La 2.189 2.189 5.549
Ag 0.000 2.189 17.901
Ag 2.189 0.000 17.901
Ag 2.189 2.189 16.068
Te 0.000 0.000 6.440
Te 0.000 0.000 15.884
Te 0.000 2.189 2.992
Te 0.000 2.189 12.329
Te 2.189 0.000 2.992
Te 2.189 0.000 12.329
Te 2.189 2.189 8.852
Te 2.189 2.189 19.692

=====

No. 8
6
Lattice="3.200 0.000 0.000 -1.600 2.771 0.000 0.000 0.000 8.937" Properties=species:S:1:pos:R:3 comment="IrC2, relaxed, DFT PBEsol" relative_energy_mev_per_atom=983 delta_e_f_ev_per_atom=1.84 pbc="T T T"
Ir 0.000 0.000 2.234
Ir 0.000 0.000 6.703
C 0.000 1.847 1.378
C 0.000 1.847 3.090
C 1.600 0.924 5.847
C 1.600 0.924 7.559

=====

Calculated total magnetic moment, 0.1; 0.0; 4.3; 0.0; 0.0; 1.7; 0.0; 0.0 Bohr magnetons per cell (same order as the records).
Calculated DFT total energy, -31.11; -13.95; -33.45; -18.56; -110.55; -68.04; -60.48; -47.20 eV/cell (same order as the records).